Density functional theory data (SCAN) for a PBEsol-optimized structure of LaAl2Ag.

a = 4.360 Å, b = 4.361 Å, c = 5.998 Å
α = 111.31°, β = 90.00°, γ = 120.00°
Fractional positions:
1 Al 0.709 0.419 0.628
2 Al 0.291 0.581 0.372
3 Ag 0.000 0.000 0.500
4 La 0.500 0.000 0.000

Calculated values
Its volume is 22.41 A^3/atom. The calculation puts the energy above the lowest structure with this stoichiometry at 0 meV/atom. The energy of formation is -0.441 eV/atom.